Material: TbNd2NiSn3Ir2
Method: DFT, PBE-GGA
State: optimized geometry

Computed properties:
Space-group type   Amm2
Energy   -56.2 eV for the cell shown
Total magnetic moment   0.00 μB per cell

Cell: 4.0244 7.4847 7.4847 Å, 119.68 90.00 90.00°
Element x y z (fractional)
Tb  0.0000  0.0000  0.0000
Nd  0.0000  0.4104  0.8216
Nd  0.0000  0.8216  0.4104
Ni  0.0000  0.4059  0.4059
Sn  0.5000  0.1613  0.4083
Sn  0.5000  0.4083  0.1613
Sn  0.5000  0.6588  0.6588
Ir  0.5000  0.0740  0.7486
Ir  0.5000  0.7486  0.0740